[1]
The following is a DFT calculation (PBE-GGA) of an optimized crystal structure of KUS3.

Cell: 7.0420 7.0420 8.0273 Å, 63.98 63.98 60.00°
Closest atoms and distances in Å follow each position.
Element x y z (fractional)
K: 0.1239 0.1239 0.6284  9 S 3.37-3.67
K: 0.8761 0.8761 0.3716  9 S 3.37-3.67
U: 0.3344 0.3344 0.9968  6 S 2.61-2.62
U: 0.6656 0.6656 0.0032  6 S 2.61-2.62
S: 0.4149 0.9222 0.2384  2 U 2.61-2.62
S: 0.9222 0.4244 0.2384  2 U 2.61-2.62
S: 0.4244 0.4149 0.2384  2 U 2.61-2.62
S: 0.5851 0.5756 0.7616  2 U 2.61-2.62
S: 0.0778 0.5851 0.7616  2 U 2.61-2.62
S: 0.5756 0.0778 0.7616  2 U 2.61-2.62

Calculated values
Fermi-level density of states (states/eV/f.u.): 5.8
ΔE to the lowest computed polymorph (eV/atom): 0.0450
Final energy (eV/atom): -6.24
Formation energy without anion corrections (eV/atom): -1.28

***

[2]
The following is a DFT calculation (PBE-GGA) of an optimized crystal structure of Er2NpS4.

Cell: 8.0475 8.0410 8.0410 Å, 59.60 59.97 59.97°
Closest atoms and distances in Å follow each position.
Element x y z (fractional)
Er: 0.1255 0.1245 0.6245  4 S 2.58-2.60
Er: 0.5000 0.0000 0.0000  6 S 2.73-2.74
Er: 0.5000 0.5000 0.5000  6 S 2.73-2.74
Er: 0.8745 0.8755 0.3755  4 S 2.58-2.60
Np: 0.0000 0.5000 0.0000  6 S 2.79-2.81
Np: 0.5000 0.5000 0.0000  6 S 2.79-2.81
S: 0.2604 0.2488 0.2304  2 Er 2.58-2.73, 2 Np 2.79
S: 0.2604 0.7304 0.7488  2 Er 2.58-2.73, 2 Np 2.79
S: 0.2633 0.2537 0.7537  3 Er 2.60-2.74, 1 Np 2.81
S: 0.7294 0.2537 0.7537  3 Er 2.60-2.74, 1 Np 2.81
S: 0.2706 0.7463 0.2463  3 Er 2.60-2.74, 1 Np 2.81
S: 0.7396 0.2696 0.2512  2 Er 2.58-2.73, 2 Np 2.79
S: 0.7367 0.7463 0.2463  3 Er 2.60-2.74, 1 Np 2.81
S: 0.7396 0.7512 0.7696  2 Er 2.58-2.73, 2 Np 2.79

Calculated values
Fermi-level density of states (states/eV/f.u.): 12.0
ΔE to the lowest computed polymorph (eV/atom): 0.0487
Final energy (eV/atom): -7.19
Formation energy without anion corrections (eV/atom): -1.67

***

[3]
The following is a DFT calculation (PBE-GGA) of an optimized crystal structure of K8Bi2Au.

Cell: 6.0755 8.3426 11.0189 Å, 111.69 106.00 90.00°
Closest atoms and distances in Å follow each position.
Element x y z (fractional)
K: 0.3999 0.5722 0.7998  1 Au 3.38, 2 Bi 3.64, 1 K 3.75
K: 0.6643 0.9483 0.3286  1 Au 3.67, 3 Bi 3.74-3.82, 4 K 3.88-4.05
K: 0.7876 0.7036 0.5752  3 Bi 3.63-3.91, 4 K 3.75-4.05
K: 0.9843 0.2297 0.9685  1 Bi 3.60, 2 Au 3.67, 2 K 3.86
K: 0.2124 0.2964 0.4248  3 Bi 3.63-3.91, 4 K 3.75-4.05
K: 0.3357 0.0517 0.6714  1 Au 3.67, 3 Bi 3.74-3.82, 4 K 3.88-4.05
K: 0.6001 0.4278 0.2002  1 Au 3.38, 2 Bi 3.64, 1 K 3.75
K: 0.0157 0.7703 0.0315  1 Bi 3.60, 2 Au 3.67, 2 K 3.86
Bi: 0.8327 0.3256 0.6654  9 K 3.60-3.91
Bi: 0.1673 0.6744 0.3346  9 K 3.60-3.91
Au: 0.5000 0.0000 0.0000  8 K 3.38-3.67

Calculated values
Fermi-level density of states (states/eV/f.u.): 4.5
E_form (eV/atom): -0.307
Final energy (eV/atom): -2.11

***

[4]
The following is a DFT calculation (PBE-GGA) of an optimized crystal structure of CsLiIr2.

Cell: 4.7519 4.7519 4.7519 Å, 60.00 60.00 60.00°
Closest atoms and distances in Å follow each position.
Element x y z (fractional)
Cs: 0.5000 0.5000 0.5000  8 Ir 2.91
Ir: 0.2500 0.2500 0.2500  4 Cs 2.91, 4 Li 2.91
Ir: 0.7500 0.7500 0.7500  4 Cs 2.91, 4 Li 2.91
Li: 0.0000 0.0000 0.0000  8 Ir 2.91

Calculated values
Fermi-level density of states (states/eV/f.u.): 5.2
ΔE to the lowest computed polymorph (eV/atom): 0.7602
E_form (eV/atom): 1.463
Final energy (eV/atom): -3.66